DFT (PBE) results for crystalline Sr2As3PdPt12 at its relaxed geometry.

a b c (Å): 7.9079 7.9079 7.9079
angles (deg): 64.29 64.29 64.29
Last column: nearest neighbours and their distance in Å.
Element x y z (fractional)
1 Sr 0.1138 0.1138 0.1138  6 Pt 2.99-3.02
2 Sr 0.8862 0.8862 0.8862  6 Pt 2.99-3.02
3 As 0.0000 0.5000 0.5000  6 Pt 2.37-2.42
4 As 0.5000 0.0000 0.5000  6 Pt 2.37-2.42
5 As 0.5000 0.5000 0.0000  6 Pt 2.37-2.42
6 Pd 0.5000 0.5000 0.5000  6 Pt 2.54
7 Pt 0.1266 0.6263 0.6263  1 As 2.37, 1 Pd 2.54
8 Pt 0.1461 0.1461 0.6071  2 As 2.42
9 Pt 0.1461 0.6071 0.1461  2 As 2.42
10 Pt 0.3737 0.3737 0.8734  1 As 2.37, 1 Pd 2.54
11 Pt 0.3737 0.8734 0.3737  1 As 2.37, 1 Pd 2.54
12 Pt 0.3929 0.8539 0.8539  2 As 2.42
13 Pt 0.6071 0.1461 0.1461  2 As 2.42
14 Pt 0.6263 0.1266 0.6263  1 As 2.37, 1 Pd 2.54
15 Pt 0.6263 0.6263 0.1266  1 As 2.37, 1 Pd 2.54
16 Pt 0.8539 0.3929 0.8539  2 As 2.42
17 Pt 0.8539 0.8539 0.3929  2 As 2.42
18 Pt 0.8734 0.3737 0.3737  1 As 2.37, 1 Pd 2.54

Results
E	-96.287	eV for the cell shown
ΔH_f (0 K)	-0.072	eV/atom
calculated volume	21.3	A^3/atom



DFT (PBE) results for crystalline Dy3Ni8Rh at its relaxed geometry.

a b c (Å): 8.6257 8.6257 8.6257
angles (deg): 33.56 33.56 33.56
Last column: nearest neighbours and their distance in Å.
Element x y z (fractional)
1 Dy 0.0000 0.0000 0.0000  12 Ni 2.91-2.96, 4 Dy 3.19-3.20
2 Dy 0.1310 0.1310 0.1310  12 Ni 2.76-3.01, 3 Rh 2.95
3 Dy 0.6102 0.6102 0.6102  9 Ni 2.77-2.99, 1 Rh 2.90
4 Ni 0.0582 0.0582 0.5643  6 Ni 2.46-2.52
5 Ni 0.0582 0.5643 0.0582  6 Ni 2.46-2.52
6 Ni 0.0618 0.5613 0.5613  6 Ni 2.47-2.51, 1 Rh 2.76
7 Ni 0.3105 0.3105 0.3105  6 Ni 2.50-2.51
8 Ni 0.5613 0.0618 0.5613  6 Ni 2.47-2.51, 1 Rh 2.76
9 Ni 0.5613 0.5613 0.0618  6 Ni 2.47-2.51, 1 Rh 2.76
10 Ni 0.5643 0.0582 0.0582  6 Ni 2.46-2.52
11 Ni 0.8106 0.8106 0.8106  6 Ni 2.47
12 Rh 0.4913 0.4913 0.4913  12 Ni 2.76-3.00, 4 Dy 2.90-2.95

Results
E	-71.979	eV for the cell shown
ΔH_f (0 K)	-0.381	eV/atom
calculated volume	14.6	A^3/atom



DFT (PBE) results for crystalline BeGe3F at its relaxed geometry.

a b c (Å): 4.4653 4.4653 4.4653
angles (deg): 90.00 90.00 90.00
Last column: nearest neighbours and their distance in Å.
Element x y z (fractional)
1 Be 0.0000 0.0000 0.0000  6 Ge 2.23
2 Ge 0.0000 0.0000 0.5000  2 Be 2.23
3 Ge 0.0000 0.5000 0.0000  2 Be 2.23
4 Ge 0.5000 0.0000 0.0000  2 Be 2.23
5 F 0.5000 0.5000 0.5000  12 Ge 3.16

Results
E	-18.878	eV for the cell shown
E_form (uncorrected)	0.1143	eV per atom
relative energy among the computed polymorphs	0.000	eV/atom
calculated volume	17.8	A^3/atom